No. 1
The following is a PBE-GGA calculation of CaZnPd2 after structural relaxation, from Alexandria.

magnetization = 0.000 μB per formula unit
space-group type = I-42d
E_tot = -3.690 eV/atom
D(E_F) = 2.11 states/eV/cell

Cell lengths 4.3579, 4.3579, 9.2973 Å; angles 76.45, 76.45, 90.00 degrees
Sites, in units of the cell vectors:
Zn 0.0000 0.0000 0.0000
Zn 0.7500 0.2500 0.5000
Ca 0.5000 0.5000 0.0000
Ca 0.2500 0.7500 0.5000
Pd 0.6916 0.1250 0.2500
Pd 0.0584 0.6250 0.2500
Pd 0.3750 0.3084 0.7500
Pd 0.8750 0.9416 0.7500

***

No. 2
The following is a PBE-GGA calculation of Ca2Zn4Pd5 after structural relaxation, from Alexandria.

magnetization = 0.000 μB per formula unit
space-group type = Fmmm
E_tot = -3.755 eV/atom
D(E_F) = 3.74 states/eV/cell

Cell lengths 5.7258, 5.5442, 8.2860 Å; angles 79.72, 69.79, 58.91 degrees
Sites, in units of the cell vectors:
Ca 0.8724 0.0000 0.2552
Ca 0.1276 0.0000 0.7448
Zn 0.4699 0.3188 0.7414
Zn 0.5301 0.6812 0.2586
Zn 0.2113 0.3188 0.2586
Zn 0.7887 0.6812 0.7414
Pd 0.5000 0.0000 0.0000
Pd 0.0000 0.5000 0.0000
Pd 0.5000 0.5000 0.0000
Pd 0.2500 0.5000 0.5000
Pd 0.7500 0.5000 0.5000

***

No. 3
The following is a PBE-GGA calculation of Ca4Zn2Pd5 after structural relaxation, from Alexandria.

magnetization = 0.000 μB per formula unit
space-group type = Ibam
E_tot = -3.883 eV/atom
D(E_F) = 9.68 states/eV/cell

Cell lengths 5.6204, 8.9010, 10.4162 Å; angles 115.29, 105.65, 90.00 degrees
Sites, in units of the cell vectors:
Ca 0.9361 0.2028 0.8722
Ca 0.0639 0.7972 0.1278
Ca 0.5639 0.3306 0.1278
Ca 0.4361 0.6694 0.8722
Ca 0.6488 0.0275 0.2976
Ca 0.3512 0.9725 0.7024
Ca 0.8512 0.7299 0.7024
Ca 0.1488 0.2701 0.2976
Zn 0.9460 0.6960 0.3920
Zn 0.5540 0.3040 0.6080
Zn 0.0540 0.3040 0.6080
Zn 0.4460 0.6960 0.3920
Pd 0.2500 0.0000 0.0000
Pd 0.7500 0.0000 0.0000
Pd 0.5770 0.6503 0.1539
Pd 0.4230 0.3497 0.8461
Pd 0.9230 0.4964 0.8461
Pd 0.0770 0.5036 0.1539
Pd 0.7761 0.9711 0.5523
Pd 0.2239 0.0289 0.4477
Pd 0.2761 0.5812 0.5523
Pd 0.7239 0.4188 0.4477

***

No. 4
The following is a PBE-GGA calculation of Ca2Zn6Pd after structural relaxation, from Alexandria.

magnetization = 0.000 μB per formula unit
space-group type = P-3m1
E_tot = -2.215 eV/atom
D(E_F) = 2.49 states/eV/cell

Cell lengths 5.7949, 5.7909, 5.8372 Å; angles 89.95, 90.00, 120.02 degrees
Sites, in units of the cell vectors:
Ca 0.6667 0.3335 0.1476
Ca 0.3333 0.6665 0.8524
Zn 0.8227 0.1772 0.6648
Zn 0.8232 0.6465 0.6646
Zn 0.3546 0.1772 0.6648
Zn 0.1773 0.8228 0.3352
Zn 0.1768 0.3535 0.3354
Zn 0.6454 0.8228 0.3352
Pd 0.0000 0.0000 0.0000

***

- Among the records above, which one has the lowest E_tot?
  Ca4Zn2Pd5